No. 1
The following is a DFT calculation (PBE-GGA) of a geometry-optimized Hg2PtPb4 structure.

Computed properties:
Density of states at the Fermi level: 0.57 states/eV/atom
Space-group type: P2/m
ΔE_f: -0.027 eV per atom
Energy: -21.66 eV per cell

Cell: 6.1154 3.6357 9.2529 Å, 90.00 101.35 90.00°
Closest atoms and distances in Å follow each position.
Positions (direct):
Hg  0.2487  0.0000  0.4534  2 Hg 3.02-3.32, 3 Pb 3.13-3.35
Hg  0.7513  0.0000  0.5466  2 Hg 3.02-3.32, 3 Pb 3.13-3.35
Pt  0.0000  0.5000  0.0000  6 Pb 2.79-2.80
Pb  0.1775  0.5000  0.7446  1 Pt 2.79
Pb  0.3291  0.0000  0.1294  2 Pt 2.80, 1 Hg 3.13
Pb  0.6709  0.0000  0.8706  2 Pt 2.80, 1 Hg 3.13
Pb  0.8225  0.5000  0.2554  1 Pt 2.79

No. 2
The following is a DFT calculation (PBE-GGA) of a geometry-optimized HgPt2Pb6 structure.

Computed properties:
Density of states at the Fermi level: 0.48 states/eV/atom
Space-group type: Immm
ΔE_f: -0.102 eV per atom
Energy: -71.11 eV per cell

Cell: 8.6665 8.6665 8.6665 Å, 115.74 114.84 98.37°
Closest atoms and distances in Å follow each position.
Positions (direct):
Hg  0.0000  0.0000  0.0000  2 Pt 2.85
Hg  0.5000  0.5000  0.0000  12 Pb 3.42-3.44
Pt  0.1349  0.6349  0.5000  8 Pb 2.89-3.06, 1 Pt 3.06
Pt  0.3050  0.0000  0.3050  1 Hg 2.85, 8 Pb 2.98-3.07
Pt  0.6950  0.0000  0.6950  1 Hg 2.85, 8 Pb 2.98-3.07
Pt  0.8651  0.3651  0.5000  8 Pb 2.89-3.06, 1 Pt 3.06
Pb  0.0454  0.2493  0.7961  2 Pt 2.98-3.06
Pb  0.1869  0.3022  0.4891  3 Pt 2.95-3.00, 1 Hg 3.29
Pb  0.1869  0.6978  0.8847  3 Pt 2.95-3.00, 1 Hg 3.29
Pb  0.3417  0.0255  0.6838  3 Pt 2.89-3.07
Pb  0.3417  0.6578  0.3162  3 Pt 2.89-3.07
Pb  0.4531  0.2493  0.2039  2 Pt 2.98-3.06
Pb  0.5469  0.7507  0.7961  2 Pt 2.98-3.06
Pb  0.6583  0.3422  0.6838  3 Pt 2.89-3.07
Pb  0.6583  0.9745  0.3162  3 Pt 2.89-3.07
Pb  0.8131  0.3022  0.1153  3 Pt 2.95-3.00, 1 Hg 3.29
Pb  0.8131  0.6978  0.5109  3 Pt 2.95-3.00, 1 Hg 3.29
Pb  0.9546  0.7507  0.2039  2 Pt 2.98-3.06

No. 3
The following is a DFT calculation (PBE-GGA) of a geometry-optimized HgPtPb2 structure.

Computed properties:
Density of states at the Fermi level: 0.62 states/eV/atom
Space-group type: P4mm
ΔE_f: 0.014 eV per atom
Energy: -13.70 eV per cell

Cell: 3.3694 3.3694 8.8528 Å, 90.00 90.00 90.00°
Closest atoms and distances in Å follow each position.
Positions (direct):
Hg  0.0000  0.0000  0.0000  4 Pt 2.92
Pt  0.5000  0.5000  0.8102  4 Hg 2.92, 4 Pb 2.95
Pb  0.0000  0.0000  0.6139  4 Pt 2.95
Pb  0.5000  0.5000  0.2698  4 Pb 3.37, 4 Hg 3.37

No. 4
The following is a DFT calculation (PBE-GGA) of a geometry-optimized HgPt2Pb structure.

Computed properties:
Density of states at the Fermi level: 0.59 states/eV/atom
Space-group type: Cmmm
ΔE_f: 0.075 eV per atom
Energy: -15.79 eV per cell

Cell: 4.6819 4.6819 3.6520 Å, 90.00 90.00 100.06°
Closest atoms and distances in Å follow each position.
Positions (direct):
Hg  0.0000  0.0000  0.0000  8 Pt 2.97, 2 Pb 3.01
Pt  0.0000  0.5000  0.5000  4 Hg 2.97, 4 Pb 2.97, 2 Pt 3.01
Pt  0.5000  0.0000  0.5000  4 Hg 2.97, 4 Pb 2.97, 2 Pt 3.01
Pb  0.5000  0.5000  0.0000  8 Pt 2.97, 2 Hg 3.01

No. 5
The following is a DFT calculation (PBE-GGA) of a geometry-optimized HgPt2Pb8 structure.

Computed properties:
Density of states at the Fermi level: 0.49 states/eV/atom
Space-group type: C2/m
ΔE_f: -0.076 eV per atom
Energy: -42.89 eV per cell

Cell: 7.8073 7.8073 5.5675 Å, 97.85 97.85 110.00°
Closest atoms and distances in Å follow each position.
Positions (direct):
Hg  0.0000  0.0000  0.0000  4 Pb 3.12-3.30
Pt  0.3188  0.6812  0.5000  8 Pb 2.92-3.00
Pt  0.6812  0.3188  0.5000  8 Pb 2.92-3.00
Pb  0.0742  0.3354  0.6094  2 Pt 2.92-3.00
Pb  0.2441  0.7559  0.0000  2 Pt 2.94, 1 Hg 3.12
Pb  0.3354  0.0742  0.6094  2 Pt 2.92-3.00
Pb  0.3778  0.3778  0.1941  2 Pt 2.93
Pb  0.6222  0.6222  0.8059  2 Pt 2.93
Pb  0.6646  0.9258  0.3906  2 Pt 2.92-3.00
Pb  0.7559  0.2441  0.0000  2 Pt 2.94, 1 Hg 3.12
Pb  0.9258  0.6646  0.3906  2 Pt 2.92-3.00

No. 6
The following is a DFT calculation (PBE-GGA) of a geometry-optimized HgPt2Pb structure.

Computed properties:
Density of states at the Fermi level: 0.29 states/eV/atom
Space-group type: Pm
ΔE_f: -0.043 eV per atom
Energy: -16.26 eV per cell

Cell: 3.7447 4.1796 5.6033 Å, 90.00 108.74 90.00°
Closest atoms and distances in Å follow each position.
Positions (direct):
Hg  0.0000  0.0000  0.0000  7 Pt 2.88-3.09
Pt  0.2668  0.0000  0.5459  2 Pt 2.73, 2 Hg 2.90-3.02, 4 Pb 2.90-2.91
Pt  0.4415  0.5000  0.8765  2 Pt 2.73, 1 Pb 2.80, 4 Hg 2.88
Pb  0.7014  0.5000  0.4037  6 Pt 2.80-3.10

No. 7
The following is a DFT calculation (PBE-GGA) of a geometry-optimized HgPt2Pb structure.

Computed properties:
Density of states at the Fermi level: 0.42 states/eV/atom
Space-group type: Pmm2
ΔE_f: 0.073 eV per atom
Energy: -15.80 eV per cell

Cell: 3.7522 3.8123 5.7087 Å, 90.00 90.00 90.00°
Closest atoms and distances in Å follow each position.
Positions (direct):
Hg  0.0000  0.0000  0.0000  6 Pt 2.75-2.96
Pt  0.0000  0.0000  0.5179  2 Hg 2.75-2.96, 4 Pb 2.87
Pt  0.5000  0.5000  0.8298  2 Pb 2.82-2.89, 4 Hg 2.85
Pb  0.5000  0.5000  0.3364  6 Pt 2.82-2.89

No. 8
The following is a DFT calculation (PBE-GGA) of a geometry-optimized HgPt2Pb structure.

Computed properties:
Density of states at the Fermi level: 0.59 states/eV/atom
Space-group type: F-43m
ΔE_f: 0.146 eV per atom
Energy: -15.51 eV per cell

Cell: 4.8282 4.8282 4.8282 Å, 60.00 60.00 60.00°
Closest atoms and distances in Å follow each position.
Positions (direct):
Hg  0.0000  0.0000  0.0000  4 Pt 2.96, 4 Pb 2.96
Pt  0.5000  0.5000  0.5000  4 Pb 2.96, 4 Pt 2.96
Pt  0.7500  0.7500  0.7500  4 Pt 2.96, 4 Hg 2.96
Pb  0.2500  0.2500  0.2500  4 Pt 2.96, 4 Hg 2.96

No. 9
The following is a DFT calculation (PBE-GGA) of a geometry-optimized Hg3PtPb6 structure.

Computed properties:
Density of states at the Fermi level: 0.41 states/eV/atom
Space-group type: P2_1/m
ΔE_f: -0.018 eV per atom
Energy: -58.76 eV per cell

Cell: 12.3975 3.6462 13.8834 Å, 90.00 113.85 90.00°
Closest atoms and distances in Å follow each position.
Positions (direct):
Hg  0.0917  0.2500  0.0988  7 Pb 3.23-3.50, 2 Hg 3.31
Hg  0.1741  0.7500  0.5349  5 Pb 3.02-3.33
Hg  0.3911  0.2500  0.9538  5 Pb 3.06-3.42, 2 Hg 3.08
Hg  0.6089  0.7500  0.0462  5 Pb 3.06-3.42, 2 Hg 3.08
Hg  0.8259  0.2500  0.4651  5 Pb 3.02-3.33
Hg  0.9083  0.7500  0.9012  7 Pb 3.23-3.50, 2 Hg 3.31
Pt  0.4086  0.2500  0.3250  8 Pb 2.89-3.11
Pt  0.5914  0.7500  0.6750  8 Pb 2.89-3.11
Pb  0.0209  0.7500  0.6577  3 Hg 3.02-3.33, 2 Pb 3.34
Pb  0.1224  0.2500  0.8783  4 Hg 3.06-3.34, 2 Pb 3.34
Pb  0.2210  0.7500  0.3183  2 Pt 2.93
Pb  0.3483  0.7500  0.1434  2 Pt 2.95
Pb  0.3916  0.7500  0.7566  1 Pt 3.11, 3 Hg 3.17-3.29, 2 Pb 3.47
Pb  0.4101  0.2500  0.5462  3 Pt 2.89-3.06
Pb  0.5899  0.7500  0.4538  3 Pt 2.89-3.06
Pb  0.6084  0.2500  0.2434  1 Pt 3.11, 3 Hg 3.17-3.29, 2 Pb 3.47
Pb  0.6517  0.2500  0.8566  2 Pt 2.95
Pb  0.7790  0.2500  0.6817  2 Pt 2.93
Pb  0.8776  0.7500  0.1217  4 Hg 3.06-3.34, 2 Pb 3.34
Pb  0.9791  0.2500  0.3423  3 Hg 3.02-3.33, 2 Pb 3.34

No. 10
The following is a DFT calculation (PBE-GGA) of a geometry-optimized HgPt2Pb2 structure.

Computed properties:
Density of states at the Fermi level: 0.47 states/eV/atom
Space-group type: I4/mmm
ΔE_f: 0.075 eV per atom
Excess energy over the best structure of this formula in the dataset: 0.173 eV/atom
Energy: -19.42 eV per cell

Cell: 6.4872 6.4872 6.4872 Å, 136.09 136.09 63.84°
Closest atoms and distances in Å follow each position.
Positions (direct):
Hg  0.0000  0.0000  0.0000  8 Pb 3.67, 8 Pt 3.67
Pt  0.3817  0.3817  0.0000  1 Pt 2.61, 4 Pb 2.83
Pt  0.6183  0.6183  0.0000  1 Pt 2.61, 4 Pb 2.83
Pb  0.2500  0.7500  0.5000  4 Pt 2.83
Pb  0.7500  0.2500  0.5000  4 Pt 2.83

No. 11
The following is a DFT calculation (PBE-GGA) of a geometry-optimized HgPtPb2 structure.

Computed properties:
Density of states at the Fermi level: 0.46 states/eV/atom
Space-group type: P-6m2
ΔE_f: -0.047 eV per atom
Energy: -13.95 eV per cell

Cell: 3.6764 3.6764 10.0161 Å, 90.00 90.00 120.00°
Closest atoms and distances in Å follow each position.
Positions (direct):
Hg  0.0000  0.0000  0.0000  2 Pb 3.12
Pt  0.6667  0.3333  0.5000  6 Pb 2.84
Pb  0.0000  0.0000  0.3117  3 Pt 2.84, 1 Hg 3.12
Pb  0.0000  0.0000  0.6883  3 Pt 2.84, 1 Hg 3.12

No. 12
The following is a DFT calculation (PBE-GGA) of a geometry-optimized HgPt2Pb structure.

Computed properties:
Density of states at the Fermi level: 0.29 states/eV/atom
Space-group type: Cm
ΔE_f: 0.046 eV per atom
Energy: -15.91 eV per cell

Cell: 5.4184 5.4184 4.6197 Å, 109.89 109.89 38.93°
Closest atoms and distances in Å follow each position.
Positions (direct):
Hg  0.0000  0.0000  0.0000  7 Pt 2.85-3.00, 1 Pb 3.00
Pt  0.4747  0.4747  0.4945  3 Pb 2.86-2.99, 4 Hg 2.89-3.00, 3 Pt 2.97-3.20
Pt  0.7456  0.7456  0.1209  4 Pb 2.83-3.05, 3 Hg 2.85-2.98, 2 Pt 2.97
Pb  0.2238  0.2238  0.6347  7 Pt 2.83-3.05, 1 Hg 3.00

No. 13
The following is a DFT calculation (PBE-GGA) of a geometry-optimized Hg3Pt2Pb8 structure.

Computed properties:
Density of states at the Fermi level: 0.51 states/eV/atom
Space-group type: C2/m
ΔE_f: -0.047 eV per atom
Energy: -43.26 eV per cell

Cell: 9.2375 9.2375 5.3257 Å, 103.06 103.06 58.17°
Closest atoms and distances in Å follow each position.
Positions (direct):
Hg  0.0000  0.0000  0.0000  4 Hg 3.20, 6 Pb 3.37-3.54
Hg  0.1972  0.8028  0.5000  3 Hg 3.20-3.54, 6 Pb 3.23-3.29
Hg  0.8028  0.1972  0.5000  3 Hg 3.20-3.54, 6 Pb 3.23-3.29
Pt  0.2446  0.2446  0.1178  7 Pb 2.82-2.94
Pt  0.7554  0.7554  0.8822  7 Pb 2.82-2.94
Pb  0.1270  0.5812  0.9709  2 Pt 2.89-2.94
Pb  0.1756  0.1756  0.5599  2 Pt 2.85-2.89
Pb  0.3949  0.3949  0.5297  1 Pt 2.82
Pb  0.4188  0.8730  0.0291  2 Pt 2.89-2.94
Pb  0.5812  0.1270  0.9709  2 Pt 2.89-2.94
Pb  0.6051  0.6051  0.4703  1 Pt 2.82
Pb  0.8244  0.8244  0.4401  2 Pt 2.85-2.89
Pb  0.8730  0.4188  0.0291  2 Pt 2.89-2.94